{
  "formula": "Ti2Ga2Au",
  "functional": "PBE",
  "state": "optimized geometry",
  "e_tot_ev_per_atom": -5.443,
  "spacegroup": "P4/mbm (127)",
  "magmom_total_mub_per_cell": 0.00,
  "formation_enthalpy_0k_ev_per_atom": -0.419,
  "cell": [[6.535, 0.000, 0.000], [0.000, 6.535, 0.000], [0.000, 0.000, 3.897]],
  "species": ["Ti", "Ti", "Ti", "Ti", "Ga", "Ga", "Ga", "Ga", "Au", "Au"],
  "fractional_positions": [[0.163, 0.337, 0.000], [0.337, 0.837, 0.000], [0.663, 0.163, 0.000], [0.837, 0.663, 0.000], [0.135, 0.635, 0.500], [0.365, 0.135, 0.500], [0.635, 0.865, 0.500], [0.865, 0.365, 0.500], [0.000, 0.000, 0.500], [0.500, 0.500, 0.500]]
}

---

{
  "formula": "Y2AsW",
  "functional": "PBE",
  "state": "optimized geometry",
  "e_tot_ev_per_atom": -7.688,
  "spacegroup": "Cmmm (65)",
  "magmom_total_mub_per_cell": 0.00,
  "formation_enthalpy_0k_ev_per_atom": -0.055,
  "cell": [[4.070, 0.000, 0.000], [0.000, 5.172, 0.000], [0.000, 0.000, 8.479]],
  "species": ["Y", "Y", "Y", "Y", "As", "As", "W", "W"],
  "fractional_positions": [[0.000, 0.000, 0.242], [0.000, 0.000, 0.758], [0.500, 0.500, 0.242], [0.500, 0.500, 0.758], [0.000, 0.500, 0.000], [0.500, 0.000, 0.000], [0.000, 0.500, 0.500], [0.500, 0.000, 0.500]]
}

---

{
  "formula": "Li4Ac2MgTl3",
  "functional": "PBE",
  "state": "optimized geometry",
  "e_tot_ev_per_atom": -2.668,
  "spacegroup": "P-4m2 (115)",
  "magmom_total_mub_per_cell": 0.00,
  "formation_enthalpy_0k_ev_per_atom": -0.212,
  "cell": [[4.926, 0.000, 0.000], [0.000, 4.926, 0.000], [0.000, 0.000, 10.601]],
  "species": ["Li", "Li", "Li", "Li", "Ac", "Ac", "Mg", "Tl", "Tl", "Tl"],
  "fractional_positions": [[0.000, 0.000, 0.000], [0.000, 0.500, 0.378], [0.500, 0.000, 0.622], [0.500, 0.500, 0.000], [0.000, 0.500, 0.761], [0.500, 0.000, 0.239], [0.500, 0.500, 0.500], [0.000, 0.000, 0.500], [0.000, 0.500, 0.129], [0.500, 0.000, 0.871]]
}

---

{
  "formula": "LaCeNdTm",
  "functional": "PBE",
  "state": "optimized geometry",
  "e_tot_ev_per_atom": -4.828,
  "spacegroup": "F-43m (216)",
  "magmom_total_mub_per_cell": 12.62,
  "formation_enthalpy_0k_ev_per_atom": 0.197,
  "cell": [[8.154, 0.000, 0.000], [0.000, 8.154, 0.000], [0.000, 0.000, 8.154]],
  "species": ["La", "La", "La", "La", "Ce", "Ce", "Ce", "Ce", "Nd", "Nd", "Nd", "Nd", "Tm", "Tm", "Tm", "Tm"],
  "fractional_positions": [[0.000, 0.000, 0.000], [0.000, 0.500, 0.500], [0.500, 0.000, 0.500], [0.500, 0.500, 0.000], [0.250, 0.250, 0.250], [0.250, 0.750, 0.750], [0.750, 0.250, 0.750], [0.750, 0.750, 0.250], [0.000, 0.000, 0.500], [0.000, 0.500, 0.000], [0.500, 0.000, 0.000], [0.500, 0.500, 0.500], [0.250, 0.250, 0.750], [0.250, 0.750, 0.250], [0.750, 0.250, 0.250], [0.750, 0.750, 0.750]]
}

---

{
  "formula": "V2InFe",
  "functional": "PBE",
  "state": "optimized geometry",
  "e_tot_ev_per_atom": -6.933,
  "spacegroup": "I-42d (122)",
  "magmom_total_mub_per_cell": 0.00,
  "formation_enthalpy_0k_ev_per_atom": 0.427,
  "cell": [[6.952, 0.000, 0.000], [0.000, 6.952, 0.000], [0.000, 0.000, 5.196]],
  "species": ["V", "V", "V", "V", "V", "V", "V", "V", "In", "In", "In", "In", "Fe", "Fe", "Fe", "Fe"],
  "fractional_positions": [[0.184, 0.250, 0.125], [0.250, 0.684, 0.375], [0.250, 0.816, 0.875], [0.316, 0.250, 0.625], [0.684, 0.750, 0.625], [0.750, 0.184, 0.875], [0.750, 0.316, 0.375], [0.816, 0.750, 0.125], [0.000, 0.000, 0.500], [0.000, 0.500, 0.750], [0.500, 0.000, 0.250], [0.500, 0.500, 0.000], [0.000, 0.000, 0.000], [0.000, 0.500, 0.250], [0.500, 0.000, 0.750], [0.500, 0.500, 0.500]]
}

---

{
  "formula": "Pu2AlPt3",
  "functional": "PBE",
  "state": "optimized geometry",
  "e_tot_ev_per_atom": -9.352,
  "spacegroup": "P6_3/mmc (194)",
  "magmom_total_mub_per_cell": 21.83,
  "formation_enthalpy_0k_ev_per_atom": -0.930,
  "cell": [[5.595, 0.000, 0.000], [-2.798, 4.846, 0.000], [0.000, 0.000, 8.306]],
  "species": ["Pu", "Pu", "Pu", "Pu", "Al", "Al", "Pt", "Pt", "Pt", "Pt", "Pt", "Pt"],
  "fractional_positions": [[0.333, 0.667, 0.070], [0.333, 0.667, 0.430], [0.667, 0.333, 0.570], [0.667, 0.333, 0.930], [0.000, 0.000, 0.000], [0.000, 0.000, 0.500], [0.169, 0.337, 0.750], [0.169, 0.831, 0.750], [0.337, 0.169, 0.250], [0.663, 0.831, 0.750], [0.831, 0.169, 0.250], [0.831, 0.663, 0.250]]
}

---

{
  "formula": "TmNi4",
  "functional": "PBE",
  "state": "optimized geometry",
  "e_tot_ev_per_atom": -5.728,
  "spacegroup": "I-43m (217)",
  "magmom_total_mub_per_cell": 2.16,
  "formation_enthalpy_0k_ev_per_atom": -0.209,
  "cell": [[-4.135, 4.135, 4.135], [4.135, -4.135, 4.135], [4.135, 4.135, -4.135]],
  "species": ["Tm", "Tm", "Tm", "Tm", "Ni", "Ni", "Ni", "Ni", "Ni", "Ni", "Ni", "Ni", "Ni", "Ni", "Ni", "Ni", "Ni", "Ni", "Ni", "Ni"],
  "fractional_positions": [[0.000, 0.000, 0.555], [0.000, 0.555, 0.000], [0.445, 0.445, 0.445], [0.555, 0.000, 0.000], [0.000, 0.000, 0.201], [0.000, 0.201, 0.000], [0.000, 0.351, 0.351], [0.000, 0.649, 0.649], [0.201, 0.000, 0.000], [0.250, 0.500, 0.750], [0.250, 0.750, 0.500], [0.351, 0.000, 0.351], [0.351, 0.351, 0.000], [0.500, 0.250, 0.750], [0.500, 0.750, 0.250], [0.649, 0.000, 0.649], [0.649, 0.649, 0.000], [0.750, 0.250, 0.500], [0.750, 0.500, 0.250], [0.799, 0.799, 0.799]]
}

---

{
  "formula": "Tm4Hg3",
  "functional": "PBE",
  "state": "optimized geometry",
  "e_tot_ev_per_atom": -2.999,
  "spacegroup": "R-3m (166)",
  "magmom_total_mub_per_cell": 0.00,
  "formation_enthalpy_0k_ev_per_atom": -0.315,
  "cell": [[2.558, 1.477, 8.367], [-2.558, 1.477, 8.367], [0.000, -2.954, 8.367]],
  "species": ["Tm", "Tm", "Tm", "Tm", "Hg", "Hg", "Hg"],
  "fractional_positions": [[0.121, 0.121, 0.121], [0.373, 0.373, 0.373], [0.627, 0.627, 0.627], [0.879, 0.879, 0.879], [0.253, 0.253, 0.253], [0.500, 0.500, 0.500], [0.747, 0.747, 0.747]]
}

---

{
  "formula": "LaNbBi3",
  "functional": "PBE",
  "state": "optimized geometry",
  "e_tot_ev_per_atom": -4.099,
  "spacegroup": "Pm-3m (221)",
  "magmom_total_mub_per_cell": 3.34,
  "formation_enthalpy_0k_ev_per_atom": 1.229,
  "cell": [[6.018, 0.000, 0.000], [0.000, 6.018, 0.000], [0.000, 0.000, 6.018]],
  "species": ["La", "Nb", "Bi", "Bi", "Bi"],
  "fractional_positions": [[0.000, 0.000, 0.000], [0.500, 0.500, 0.500], [0.000, 0.000, 0.500], [0.000, 0.500, 0.000], [0.500, 0.000, 0.000]]
}

---

{
  "formula": "Na3Ca2Cl7",
  "functional": "PBE",
  "state": "optimized geometry",
  "e_tot_ev_per_atom": -3.826,
  "spacegroup": "Cmc2_1 (36)",
  "formation_energy_uncorrected_ev_per_fu": -25.022,
  "magmom_total_mub_per_cell": 0.00,
  "cell": [[12.240, -3.529, 0.000], [12.240, 3.529, 0.000], [0.000, 0.000, 7.372]],
  "species": ["Na", "Na", "Na", "Na", "Na", "Na", "Ca", "Ca", "Ca", "Ca", "Cl", "Cl", "Cl", "Cl", "Cl", "Cl", "Cl", "Cl", "Cl", "Cl", "Cl", "Cl", "Cl", "Cl"],
  "fractional_positions": [[0.054, 0.555, 0.640], [0.248, 0.752, 0.500], [0.445, 0.946, 0.640], [0.555, 0.054, 0.140], [0.752, 0.248, 0.000], [0.946, 0.445, 0.140], [0.148, 0.640, 0.058], [0.360, 0.852, 0.058], [0.640, 0.148, 0.558], [0.852, 0.360, 0.558], [0.075, 0.198, 0.864], [0.124, 0.876, 0.131], [0.180, 0.404, 0.997], [0.198, 0.075, 0.364], [0.339, 0.507, 0.731], [0.404, 0.180, 0.497], [0.493, 0.661, 0.731], [0.507, 0.339, 0.231], [0.596, 0.820, 0.997], [0.661, 0.493, 0.231], [0.802, 0.925, 0.864], [0.820, 0.596, 0.497], [0.876, 0.124, 0.631], [0.925, 0.802, 0.364]]
}

---

{
  "formula": "La2PrVN4",
  "functional": "PBE",
  "state": "optimized geometry",
  "e_tot_ev_per_atom": -8.270,
  "spacegroup": "Cmcm (63)",
  "formation_energy_uncorrected_ev_per_fu": -9.103,
  "magmom_total_mub_per_cell": 0.00,
  "cell": [[1.751, -6.027, 0.000], [1.751, 6.027, 0.000], [0.000, 0.000, 12.596]],
  "species": ["La", "La", "La", "La", "Pr", "Pr", "V", "V", "N", "N", "N", "N", "N", "N", "N", "N"],
  "fractional_positions": [[0.133, 0.867, 0.542], [0.133, 0.867, 0.958], [0.867, 0.133, 0.042], [0.867, 0.133, 0.458], [0.413, 0.587, 0.750], [0.587, 0.413, 0.250], [0.322, 0.678, 0.250], [0.678, 0.322, 0.750], [0.086, 0.914, 0.750], [0.228, 0.772, 0.139], [0.228, 0.772, 0.361], [0.500, 0.500, 0.000], [0.500, 0.500, 0.500], [0.772, 0.228, 0.639], [0.772, 0.228, 0.861], [0.914, 0.086, 0.250]]
}

---

{
  "formula": "Cs2TlI3",
  "functional": "PBE",
  "state": "optimized geometry",
  "e_tot_ev_per_atom": -2.698,
  "spacegroup": "Immm (71)",
  "formation_energy_uncorrected_ev_per_fu": -7.464,
  "magmom_total_mub_per_cell": 0.00,
  "cell": [[5.361, 0.000, 0.000], [0.000, 7.610, 0.000], [0.000, 0.000, 16.110]],
  "species": ["Cs", "Cs", "Cs", "Cs", "Tl", "Tl", "I", "I", "I", "I", "I", "I"],
  "fractional_positions": [[0.000, 0.000, 0.170], [0.000, 0.000, 0.830], [0.500, 0.500, 0.330], [0.500, 0.500, 0.670], [0.000, 0.000, 0.500], [0.500, 0.500, 0.000], [0.000, 0.500, 0.151], [0.000, 0.500, 0.500], [0.000, 0.500, 0.849], [0.500, 0.000, 0.000], [0.500, 0.000, 0.349], [0.500, 0.000, 0.651]]
}

---

{
  "formula": "La2SbO",
  "functional": "PBE",
  "state": "optimized geometry",
  "e_tot_ev_per_atom": -6.640,
  "spacegroup": "I-42d (122)",
  "formation_energy_uncorrected_ev_per_fu": -7.624,
  "magmom_total_mub_per_cell": 0.00,
  "cell": [[7.352, 0.000, 0.000], [0.000, 7.352, 0.000], [0.000, 0.000, 8.125]],
  "species": ["La", "La", "La", "La", "La", "La", "La", "La", "Sb", "Sb", "Sb", "Sb", "O", "O", "O", "O"],
  "fractional_positions": [[0.152, 0.250, 0.125], [0.250, 0.652, 0.375], [0.250, 0.848, 0.875], [0.348, 0.250, 0.625], [0.652, 0.750, 0.625], [0.750, 0.152, 0.875], [0.750, 0.348, 0.375], [0.848, 0.750, 0.125], [0.000, 0.000, 0.500], [0.000, 0.500, 0.750], [0.500, 0.000, 0.250], [0.500, 0.500, 0.000], [0.000, 0.000, 0.000], [0.000, 0.500, 0.250], [0.500, 0.000, 0.750], [0.500, 0.500, 0.500]]
}

---

{
  "formula": "PmAl6Cu6",
  "functional": "PBE",
  "state": "optimized geometry",
  "e_tot_ev_per_atom": -4.340,
  "spacegroup": "Immm (71)",
  "magmom_total_mub_per_cell": 0.00,
  "formation_enthalpy_0k_ev_per_atom": -0.357,
  "cell": [[-2.556, 4.320, 4.384], [2.556, -4.320, 4.384], [2.556, 4.320, -4.384]],
  "species": ["Pm", "Al", "Al", "Al", "Al", "Al", "Al", "Cu", "Cu", "Cu", "Cu", "Cu", "Cu"],
  "fractional_positions": [[0.000, 0.000, 0.000], [0.205, 0.705, 0.500], [0.347, 0.000, 0.347], [0.350, 0.350, 0.000], [0.650, 0.650, 0.000], [0.653, 0.000, 0.653], [0.795, 0.295, 0.500], [0.000, 0.000, 0.500], [0.000, 0.500, 0.000], [0.232, 0.500, 0.732], [0.500, 0.000, 0.000], [0.500, 0.500, 0.500], [0.768, 0.500, 0.268]]
}

---

{
  "formula": "TaTi3Bi",
  "functional": "PBE",
  "state": "optimized geometry",
  "e_tot_ev_per_atom": -6.389,
  "spacegroup": "Pm-3m (221)",
  "magmom_total_mub_per_cell": 0.00,
  "formation_enthalpy_0k_ev_per_atom": 1.495,
  "cell": [[4.984, 0.000, 0.000], [0.000, 4.984, 0.000], [0.000, 0.000, 4.984]],
  "species": ["Ta", "Ti", "Ti", "Ti", "Bi"],
  "fractional_positions": [[0.000, 0.000, 0.000], [0.000, 0.500, 0.500], [0.500, 0.000, 0.500], [0.500, 0.500, 0.000], [0.500, 0.500, 0.500]]
}

---

{
  "formula": "LiYCo",
  "functional": "PBE",
  "state": "optimized geometry",
  "e_tot_ev_per_atom": -4.430,
  "spacegroup": "F-43m (216)",
  "magmom_total_mub_per_cell": 0.00,
  "formation_enthalpy_0k_ev_per_atom": 0.731,
  "cell": [[6.348, 0.000, 0.000], [0.000, 6.348, 0.000], [0.000, 0.000, 6.348]],
  "species": ["Li", "Li", "Li", "Li", "Y", "Y", "Y", "Y", "Co", "Co", "Co", "Co"],
  "fractional_positions": [[0.000, 0.000, 0.000], [0.000, 0.500, 0.500], [0.500, 0.000, 0.500], [0.500, 0.500, 0.000], [0.250, 0.250, 0.250], [0.250, 0.750, 0.750], [0.750, 0.250, 0.750], [0.750, 0.750, 0.250], [0.000, 0.000, 0.500], [0.000, 0.500, 0.000], [0.500, 0.000, 0.000], [0.500, 0.500, 0.500]]
}

---

{
  "formula": "TlIn4Sn",
  "functional": "PBE",
  "state": "optimized geometry",
  "e_tot_ev_per_atom": -2.870,
  "spacegroup": "P-1 (2)",
  "magmom_total_mub_per_cell": 0.00,
  "formation_enthalpy_0k_ev_per_atom": 0.017,
  "cell": [[5.707, 0.000, 0.000], [-0.953, 5.636, 0.000], [-1.905, -2.656, 10.471]],
  "species": ["Tl", "Tl", "In", "In", "In", "In", "In", "In", "In", "In", "Sn", "Sn"],
  "fractional_positions": [[0.248, 0.252, 0.000], [0.752, 0.748, 0.000], [0.077, 0.079, 0.663], [0.163, 0.661, 0.823], [0.341, 0.842, 0.176], [0.421, 0.422, 0.337], [0.579, 0.578, 0.663], [0.659, 0.158, 0.824], [0.837, 0.339, 0.177], [0.923, 0.921, 0.337], [0.000, 0.500, 0.500], [0.500, 0.000, 0.500]]
}

---

{
  "formula": "Cs5Rb8Tl",
  "functional": "PBE",
  "state": "optimized geometry",
  "e_tot_ev_per_atom": -1.008,
  "spacegroup": "I-4 (82)",
  "magmom_total_mub_per_cell": 0.00,
  "formation_enthalpy_0k_ev_per_atom": 0.019,
  "cell": [[-6.811, 6.811, 7.133], [6.811, -6.811, 7.133], [6.811, 6.811, -7.133]],
  "species": ["Cs", "Cs", "Cs", "Cs", "Cs", "Rb", "Rb", "Rb", "Rb", "Rb", "Rb", "Rb", "Rb", "Tl"],
  "fractional_positions": [[0.000, 0.000, 0.000], [0.232, 0.076, 0.675], [0.401, 0.557, 0.325], [0.443, 0.768, 0.844], [0.924, 0.599, 0.156], [0.037, 0.316, 0.403], [0.087, 0.424, 0.844], [0.366, 0.963, 0.279], [0.576, 0.419, 0.662], [0.581, 0.243, 0.156], [0.684, 0.087, 0.721], [0.757, 0.913, 0.338], [0.913, 0.634, 0.597], [0.750, 0.250, 0.500]]
}